First-principles (PBE) data for a relaxed Tl2In3Pb crystal, as listed in Alexandria.

The structure belongs to space group P4/mmm (No. 123); the cell edges are 3.3574, 3.3574 and 15.6496 Å and the angles 90.00°, 90.00° and 90.00°. The distinct sites, in fractional coordinates, are Tl at (0.0000, 0.0000, 0.1637), In at (0.5000, 0.5000, 0.0000), In at (0.5000, 0.5000, 0.3338) and Pb at (0.0000, 0.0000, 0.5000).

The total magnetic moment is 0.00 Bohr magnetons per cell. The distance to the lowest polymorph of the same formula is 0.0000 eV per atom. Its total energy is -0.1011 Ha/atom. The crystal system is tetragonal.

=====

First-principles (PBE) data for a relaxed TlInPb2 crystal, as listed in Alexandria.

The structure belongs to space group Immm (No. 71); the cell edges are 3.6757, 5.7924 and 11.4868 Å and the angles 90.00°, 90.00° and 90.00°. The distinct sites, in fractional coordinates, are Tl at (0.0000, 0.0000, 0.0000), In at (0.0000, 0.0000, 0.5000) and Pb at (0.0000, 0.5000, 0.2372).

The total magnetic moment is 0.00 Bohr magnetons per cell. The distance to the lowest polymorph of the same formula is 0.0291 eV per atom. Its total energy is -0.1139 Ha/atom. The crystal system is orthorhombic.

=====

First-principles (PBE) data for a relaxed TlIn3Pb4 crystal, as listed in Alexandria.

The structure belongs to space group P4/mmm (No. 123); the cell edges are 3.6149, 3.6149 and 18.2742 Å and the angles 90.00°, 90.00° and 90.00°. The distinct sites, in fractional coordinates, are Tl at (0.0000, 0.0000, 0.0000), In at (0.0000, 0.0000, 0.2530), In at (0.0000, 0.0000, 0.5000), Pb at (0.5000, 0.5000, 0.1325) and Pb at (0.5000, 0.5000, 0.3760).

The total magnetic moment is 0.00 Bohr magnetons per cell. Its total energy is -0.1163 Ha/atom. The crystal system is tetragonal.

=====

First-principles (PBE) data for a relaxed Tl4In4Pb crystal, as listed in Alexandria.

The structure belongs to space group I4/mmm (No. 139); the cell edges are 10.0019, 10.0019 and 5.2689 Å and the angles 90.00°, 90.00° and 90.00°. The distinct sites, in fractional coordinates, are Tl at (0.1684, 0.1684, 0.0000), In at (0.0000, 0.3396, 0.5000) and Pb at (0.0000, 0.0000, 0.5000).

The total magnetic moment is 0.00 Bohr magnetons per cell. Its total energy is -0.0978 Ha/atom. The crystal system is tetragonal.

=====

First-principles (PBE) data for a relaxed TlIn4Pb8 crystal, as listed in Alexandria.

The structure belongs to space group P-1 (No. 2); the cell edges are 4.8900, 9.2548 and 9.3053 Å and the angles 85.06°, 75.67° and 75.04°. The distinct sites, in fractional coordinates, are Tl at (0.0000, 0.0000, 0.0000), In at (0.1509, 0.0757, 0.6164), In at (0.2345, 0.6130, 0.9237), Pb at (0.0770, 0.5371, 0.3034), Pb at (0.3034, 0.1563, 0.2337), Pb at (0.3822, 0.6994, 0.5353) and Pb at (0.4625, 0.2319, 0.8450).

The total magnetic moment is 0.00 Bohr magnetons per cell. The distance to the lowest polymorph of the same formula is 0.0000 eV per atom. Its total energy is -0.1213 Ha/atom. The crystal system is triclinic.

=====

First-principles (PBE) data for a relaxed Tl5In2Pb2 crystal, as listed in Alexandria.

The structure belongs to space group P-3m1 (No. 164); the cell edges are 3.5501, 3.5501 and 25.4127 Å and the angles 90.00°, 90.00° and 120.00°. The distinct sites, in fractional coordinates, are Tl at (0.0000, 0.0000, 0.0000), Tl at (0.3333, 0.6667, 0.4449), Tl at (0.3333, 0.6667, 0.7792), In at (0.3333, 0.6667, 0.6590) and Pb at (0.3333, 0.6667, 0.1126).

The total magnetic moment is 0.00 Bohr magnetons per cell. The distance to the lowest polymorph of the same formula is 0.0111 eV per atom. Its total energy is -0.0996 Ha/atom. The crystal system is trigonal.

=====

First-principles (PBE) data for a relaxed Tl5In2Pb5 crystal, as listed in Alexandria.

The structure belongs to space group C2/m (No. 12); the cell edges are 14.5393, 4.9612 and 11.2471 Å and the angles 90.00°, 115.55° and 90.00°. The distinct sites, in fractional coordinates, are Tl at (0.0000, 0.0000, 0.0000), Tl at (0.0801, 0.0000, 0.7469), Tl at (0.1668, 0.0000, 0.4987), In at (0.0825, 0.5000, 0.2490), Pb at (0.0000, 0.5000, 0.5000), Pb at (0.1679, 0.5000, 0.0049) and Pb at (0.2470, 0.0000, 0.2471).

The total magnetic moment is 0.00 Bohr magnetons per cell. Its total energy is -0.1096 Ha/atom. The crystal system is monoclinic.

=====

First-principles (PBE) data for a relaxed Tl6In3Pb crystal, as listed in Alexandria.

The structure belongs to space group P2_1/m (No. 11); the cell edges are 12.7461, 3.4320 and 15.2550 Å and the angles 90.00°, 112.84° and 90.00°. The distinct sites, in fractional coordinates, are Tl at (0.0257, 0.2500, 0.4039), Tl at (0.0967, 0.2500, 0.8492), Tl at (0.1883, 0.7500, 0.2864), Tl at (0.2863, 0.7500, 0.5342), Tl at (0.3332, 0.2500, 0.0701), Tl at (0.3762, 0.7500, 0.8907), In at (0.1092, 0.7500, 0.0606), In at (0.2137, 0.2500, 0.6903), In at (0.4243, 0.2500, 0.4071) and Pb at (0.4880, 0.2500, 0.7378).

The total magnetic moment is 0.00 Bohr magnetons per cell. The distance to the lowest polymorph of the same formula is 0.0132 eV per atom. Its total energy is -0.0948 Ha/atom. The crystal system is monoclinic.

=====

First-principles (PBE) data for a relaxed Tl2InPb9 crystal, as listed in Alexandria.

The structure belongs to space group P4/mmm (No. 123); the cell edges are 4.9867, 4.9867 and 14.9888 Å and the angles 90.00°, 90.00° and 90.00°. The distinct sites, in fractional coordinates, are Tl at (0.0000, 0.0000, 0.1680), In at (0.0000, 0.0000, 0.5000), Pb at (0.0000, 0.5000, 0.0000), Pb at (0.0000, 0.5000, 0.3354), Pb at (0.5000, 0.5000, 0.1671) and Pb at (0.5000, 0.5000, 0.5000).

The total magnetic moment is 0.00 Bohr magnetons per cell. Its total energy is -0.1249 Ha/atom. The crystal system is tetragonal.

=====

First-principles (PBE) data for a relaxed Tl7In2Pb3 crystal, as listed in Alexandria.

The structure belongs to space group Immm (No. 71); the cell edges are 3.6384, 5.4552 and 37.2848 Å and the angles 90.00°, 90.00° and 90.00°. The distinct sites, in fractional coordinates, are Tl at (0.0000, 0.0000, 0.0000), Tl at (0.0000, 0.0000, 0.2322), Tl at (0.0000, 0.5000, 0.0901), Tl at (0.0000, 0.5000, 0.4252), In at (0.0000, 0.0000, 0.1490), Pb at (0.0000, 0.0000, 0.3229) and Pb at (0.0000, 0.0000, 0.5000).

The total magnetic moment is 0.00 Bohr magnetons per cell. Its total energy is -0.0996 Ha/atom. The crystal system is orthorhombic.

=====

First-principles (PBE) data for a relaxed Tl2In8Pb crystal, as listed in Alexandria.

The structure belongs to space group C2/m (No. 12); the cell edges are 11.8928, 16.2570 and 3.3410 Å and the angles 90.00°, 90.35° and 90.00°. The distinct sites, in fractional coordinates, are Tl at (0.0000, 0.1117, 0.0000), In at (0.0000, 0.2877, 0.5000), In at (0.2039, 0.0000, 0.4974), In at (0.2145, 0.3427, 0.0054) and Pb at (0.0000, 0.5000, 0.5000).

The total magnetic moment is 0.00 Bohr magnetons per cell. Its total energy is -0.0989 Ha/atom. The crystal system is monoclinic.

=====

First-principles (PBE) data for a relaxed Tl2InPb crystal, as listed in Alexandria.

The structure belongs to space group Pmm2 (No. 25); the cell edges are 3.3508, 5.0843 and 7.0882 Å and the angles 90.00°, 90.00° and 90.00°. The distinct sites, in fractional coordinates, are Tl at (0.0000, 0.0000, 0.0000), Tl at (0.5000, 0.5000, 0.2522), In at (0.0000, 0.0000, 0.4952) and Pb at (0.5000, 0.5000, 0.7406).

The total magnetic moment is 0.00 Bohr magnetons per cell. The distance to the lowest polymorph of the same formula is 0.0167 eV per atom. Its total energy is -0.1022 Ha/atom. The crystal system is orthorhombic.